[1]
# BeCoCuRu2, optimized geometry, DFT GGA-PBE
data_BeCoCuRu2
_cell_length_a 4.471
_cell_length_b 4.471
_cell_length_c 4.209
_cell_angle_alpha 90.00
_cell_angle_beta 90.00
_cell_angle_gamma 90.00
_symmetry_space_group_name_H-M 'P 4/m m m'
_symmetry_Int_Tables_number 123
_symmetry_space_group_name_Hall '-P 4 2'
loop_
_atom_site_label
_atom_site_type_symbol
_atom_site_fract_x
_atom_site_fract_y
_atom_site_fract_z
_atom_site_occupancy
Be1 Be 0.000 0.000 0.000 1
Co1 Co 0.500 0.500 0.000 1
Cu1 Cu 0.500 0.500 0.500 1
Ru1 Ru 0.000 0.500 0.500 1
# **Calculated total energy**: -4.99 eV per atom


[2]
# MnTlSe4, optimized geometry, DFT GGA-PBE
data_MnTlSe4
_cell_length_a 8.302
_cell_length_b 8.302
_cell_length_c 8.302
_cell_angle_alpha 90.00
_cell_angle_beta 90.00
_cell_angle_gamma 90.00
_symmetry_space_group_name_H-M 'F -4 3 m'
_symmetry_Int_Tables_number 216
_symmetry_space_group_name_Hall 'F -4 2 3'
loop_
_atom_site_label
_atom_site_type_symbol
_atom_site_fract_x
_atom_site_fract_y
_atom_site_fract_z
_atom_site_occupancy
Mn1 Mn 0.000 0.000 0.000 1
Tl1 Tl 0.250 0.250 0.250 1
Se1 Se 0.126 0.126 0.626 1
# **Relative energy among the computed polymorphs**: 703.0 meV per atom
# **Formation energy from raw total energies**: 0.46 eV per atom


[3]
# CdGa2BO6, optimized geometry, DFT GGA-PBE
data_CdGa2BO6
_cell_length_a 8.636
_cell_length_b 10.603
_cell_length_c 5.624
_cell_angle_alpha 90.00
_cell_angle_beta 114.78
_cell_angle_gamma 90.00
_symmetry_space_group_name_H-M 'C 1 2/c 1'
_symmetry_Int_Tables_number 15
loop_
_symmetry_equiv_pos_as_xyz
'x,y,z'
'-x,-y,-z'
'-x,y,-z+1/2'
'x,-y,z+1/2'
'x+1/2,y+1/2,z'
'-x+1/2,-y+1/2,-z'
'-x+1/2,y+1/2,-z+1/2'
'x+1/2,-y+1/2,z+1/2'
loop_
_atom_site_label
_atom_site_type_symbol
_atom_site_fract_x
_atom_site_fract_y
_atom_site_fract_z
_atom_site_occupancy
Cd1 Cd 0.000 0.103 0.250 1
Ga1 Ga 0.136 0.413 0.149 1
B1 B 0.000 0.181 0.750 1
O1 O 0.103 0.249 0.997 1
O2 O 0.116 0.098 0.685 1
O3 O 0.127 0.431 0.481 1
# **Formation energy from raw total energies**: -1.61 eV per atom


[4]
# Cs2BaNiCl6, optimized geometry, DFT GGA-PBE
data_Cs2BaNiCl6
_cell_length_a 10.890
_cell_length_b 10.890
_cell_length_c 10.890
_cell_angle_alpha 90.00
_cell_angle_beta 90.00
_cell_angle_gamma 90.00
_symmetry_space_group_name_H-M 'F m -3 m'
_symmetry_Int_Tables_number 225
_symmetry_space_group_name_Hall '-F 4 2 3'
loop_
_atom_site_label
_atom_site_type_symbol
_atom_site_fract_x
_atom_site_fract_y
_atom_site_fract_z
_atom_site_occupancy
Cs1 Cs 0.250 0.250 0.250 1
Ba1 Ba 0.000 0.000 0.000 1
Ni1 Ni 0.000 0.000 0.500 1
Cl1 Cl 0.000 0.000 0.277 1
# **Formation energy from raw total energies**: -1.69 eV per atom


[5]
# LiAc2Ga4Ge3, optimized geometry, DFT GGA-PBE
data_LiAc2Ga4Ge3
_cell_length_a 4.426
_cell_length_b 4.426
_cell_length_c 11.499
_cell_angle_alpha 90.00
_cell_angle_beta 90.00
_cell_angle_gamma 90.00
_symmetry_space_group_name_H-M 'P -4 m 2'
_symmetry_Int_Tables_number 115
loop_
_symmetry_equiv_pos_as_xyz
'x,y,z'
'y,-x,-z'
'-x,-y,z'
'-y,x,-z'
'-x,y,z'
'-y,-x,-z'
'x,-y,z'
'y,x,-z'
loop_
_atom_site_label
_atom_site_type_symbol
_atom_site_fract_x
_atom_site_fract_y
_atom_site_fract_z
_atom_site_occupancy
Li1 Li 0.000 0.000 0.000 1
Ac1 Ac 0.000 0.500 0.748 1
Ga1 Ga 0.000 0.000 0.500 1
Ga2 Ga 0.000 0.500 0.130 1
Ga3 Ga 0.500 0.500 0.500 1
Ge1 Ge 0.000 0.500 0.365 1
Ge2 Ge 0.500 0.500 0.000 1
# **Calculated total energy**: -4.01 eV per atom


[6]
# CdRhCl2, optimized geometry, DFT GGA-PBE
data_CdRhCl2
_cell_length_a 3.508
_cell_length_b 3.508
_cell_length_c 6.271
_cell_angle_alpha 90.00
_cell_angle_beta 90.00
_cell_angle_gamma 90.00
_symmetry_space_group_name_H-M 'P 4/m m m'
_symmetry_Int_Tables_number 123
_symmetry_space_group_name_Hall '-P 4 2'
loop_
_atom_site_label
_atom_site_type_symbol
_atom_site_fract_x
_atom_site_fract_y
_atom_site_fract_z
_atom_site_occupancy
Cd1 Cd 0.000 0.000 0.000 1
Rh1 Rh 0.000 0.000 0.500 1
Cl1 Cl 0.500 0.500 0.260 1
# **Relative energy among the computed polymorphs**: 553.5 meV per atom
# **Formation energy from raw total energies**: 0.19 eV per atom


[7]
# Sc2AsRu, optimized geometry, DFT GGA-PBE
data_Sc2AsRu
_cell_length_a 3.241
_cell_length_b 4.262
_cell_length_c 10.808
_cell_angle_alpha 90.00
_cell_angle_beta 90.00
_cell_angle_gamma 90.00
_symmetry_space_group_name_H-M 'I m m 2'
_symmetry_Int_Tables_number 44
loop_
_symmetry_equiv_pos_as_xyz
'x,y,z'
'-x,-y,z'
'-x,y,z'
'x,-y,z'
'x+1/2,y+1/2,z+1/2'
'-x+1/2,-y+1/2,z+1/2'
'-x+1/2,y+1/2,z+1/2'
'x+1/2,-y+1/2,z+1/2'
loop_
_atom_site_label
_atom_site_type_symbol
_atom_site_fract_x
_atom_site_fract_y
_atom_site_fract_z
_atom_site_occupancy
Sc1 Sc 0.000 0.000 0.000 1
Sc2 Sc 0.000 0.500 0.229 1
As1 As 0.000 0.500 0.809 1
Ru1 Ru 0.000 0.000 0.493 1
# **Calculated total energy**: -7.33 eV per atom


[8]
# Al2GaAg, optimized geometry, DFT GGA-PBE
data_Al2GaAg
_cell_length_a 4.182
_cell_length_b 4.182
_cell_length_c 3.980
_cell_angle_alpha 90.00
_cell_angle_beta 90.00
_cell_angle_gamma 90.00
_symmetry_space_group_name_H-M 'P 4/m m m'
_symmetry_Int_Tables_number 123
_symmetry_space_group_name_Hall '-P 4 2'
loop_
_atom_site_label
_atom_site_type_symbol
_atom_site_fract_x
_atom_site_fract_y
_atom_site_fract_z
_atom_site_occupancy
Al1 Al 0.000 0.500 0.000 1
Ga1 Ga 0.000 0.000 0.500 1
Ag1 Ag 0.500 0.500 0.500 1
# **Calculated total energy**: -3.27 eV per atom


[9]
# Ac2PmPb2, optimized geometry, DFT GGA-PBE
data_Ac2PmPb2
_cell_length_a 5.321
_cell_length_b 19.878
_cell_length_c 7.064
_cell_angle_alpha 90.00
_cell_angle_beta 90.00
_cell_angle_gamma 90.00
_symmetry_space_group_name_H-M 'C m c 21'
_symmetry_Int_Tables_number 36
loop_
_symmetry_equiv_pos_as_xyz
'x,y,z'
'-x,-y,z+1/2'
'-x,y,z'
'x,-y,z+1/2'
'x+1/2,y+1/2,z'
'-x+1/2,-y+1/2,z+1/2'
'-x+1/2,y+1/2,z'
'x+1/2,-y+1/2,z+1/2'
loop_
_atom_site_label
_atom_site_type_symbol
_atom_site_fract_x
_atom_site_fract_y
_atom_site_fract_z
_atom_site_occupancy
Ac1 Ac 0.000 0.000 0.000 1
Ac2 Ac 0.000 0.195 0.250 1
Pm1 Pm 0.000 0.398 0.250 1
Pb1 Pb 0.000 0.185 0.750 1
Pb2 Pb 0.000 0.424 0.750 1
# **Relative energy among the computed polymorphs**: 51.2 meV per atom


[10]
# NdSmPb2O8, optimized geometry, DFT GGA-PBE
data_NdSmPb2O8
_cell_length_a 5.691
_cell_length_b 5.691
_cell_length_c 10.846
_cell_angle_alpha 90.00
_cell_angle_beta 90.00
_cell_angle_gamma 90.00
_symmetry_space_group_name_H-M 'I -4'
_symmetry_Int_Tables_number 82
loop_
_symmetry_equiv_pos_as_xyz
'x,y,z'
'y,-x,-z'
'-x,-y,z'
'-y,x,-z'
'x+1/2,y+1/2,z+1/2'
'y+1/2,-x+1/2,-z+1/2'
'-x+1/2,-y+1/2,z+1/2'
'-y+1/2,x+1/2,-z+1/2'
loop_
_atom_site_label
_atom_site_type_symbol
_atom_site_fract_x
_atom_site_fract_y
_atom_site_fract_z
_atom_site_occupancy
Nd1 Nd 0.000 0.000 0.000 1
Sm1 Sm 0.000 0.500 0.250 1
Pb1 Pb 0.000 0.000 0.500 1
Pb2 Pb 0.000 0.500 0.750 1
O1 O 0.201 0.255 0.402 1
O2 O 0.205 0.753 0.846 1
# **Formation energy from raw total energies**: -1.71 eV per atom


[11]
# Mg3ScAg, optimized geometry, DFT GGA-PBE
data_Mg3ScAg
_cell_length_a 14.168
_cell_length_b 4.920
_cell_length_c 6.311
_cell_angle_alpha 90.00
_cell_angle_beta 101.64
_cell_angle_gamma 90.00
_symmetry_space_group_name_H-M 'C 1 2/m 1'
_symmetry_Int_Tables_number 12
loop_
_symmetry_equiv_pos_as_xyz
'x,y,z'
'-x,-y,-z'
'-x,y,-z'
'x,-y,z'
'x+1/2,y+1/2,z'
'-x+1/2,-y+1/2,-z'
'-x+1/2,y+1/2,-z'
'x+1/2,-y+1/2,z'
loop_
_atom_site_label
_atom_site_type_symbol
_atom_site_fract_x
_atom_site_fract_y
_atom_site_fract_z
_atom_site_occupancy
Mg1 Mg 0.100 0.000 0.432 1
Mg2 Mg 0.186 0.500 0.701 1
Mg3 Mg 0.199 0.500 0.203 1
Sc1 Sc 0.102 0.000 0.940 1
Ag1 Ag 0.007 0.500 0.245 1
# **Relative energy among the computed polymorphs**: 47.5 meV per atom


[12]
# FeRe2Au, optimized geometry, DFT GGA-PBE
data_FeRe2Au
_cell_length_a 2.782
_cell_length_b 3.881
_cell_length_c 5.581
_cell_angle_alpha 90.00
_cell_angle_beta 90.15
_cell_angle_gamma 90.00
_symmetry_space_group_name_H-M 'P 1 m 1'
_symmetry_Int_Tables_number 6
loop_
_symmetry_equiv_pos_as_xyz
'x,y,z'
'x,-y,z'
loop_
_atom_site_label
_atom_site_type_symbol
_atom_site_fract_x
_atom_site_fract_y
_atom_site_fract_z
_atom_site_occupancy
Fe1 Fe 0.000 0.000 0.000 1
Re1 Re 0.011 0.000 0.545 1
Re2 Re 0.467 0.500 0.761 1
Au1 Au 0.494 0.500 0.254 1
# **Relative energy among the computed polymorphs**: 45.5 meV per atom


[13]
# RbNaHgS2, optimized geometry, DFT GGA-PBE
data_RbNaHgS2
_cell_length_a 6.047
_cell_length_b 6.047
_cell_length_c 6.348
_cell_angle_alpha 90.00
_cell_angle_beta 90.00
_cell_angle_gamma 90.00
_symmetry_space_group_name_H-M 'P 4/m m m'
_symmetry_Int_Tables_number 123
_symmetry_space_group_name_Hall '-P 4 2'
loop_
_atom_site_label
_atom_site_type_symbol
_atom_site_fract_x
_atom_site_fract_y
_atom_site_fract_z
_atom_site_occupancy
Rb1 Rb 0.000 0.000 0.000 1
Na1 Na 0.500 0.500 0.500 1
Hg1 Hg 0.000 0.000 0.500 1
S1 S 0.000 0.500 0.000 1
# **Formation energy from raw total energies**: 0.27 eV per atom


[14]
# K3Er2AlS6, optimized geometry, DFT GGA-PBE
data_K3Er2AlS6
_cell_length_a 6.765
_cell_length_b 11.722
_cell_length_c 7.682
_cell_angle_alpha 90.00
_cell_angle_beta 107.18
_cell_angle_gamma 90.00
_symmetry_space_group_name_H-M 'C 1 2/m 1'
_symmetry_Int_Tables_number 12
loop_
_symmetry_equiv_pos_as_xyz
'x,y,z'
'-x,-y,-z'
'-x,y,-z'
'x,-y,z'
'x+1/2,y+1/2,z'
'-x+1/2,-y+1/2,-z'
'-x+1/2,y+1/2,-z'
'x+1/2,-y+1/2,z'
loop_
_atom_site_label
_atom_site_type_symbol
_atom_site_fract_x
_atom_site_fract_y
_atom_site_fract_z
_atom_site_occupancy
K1 K 0.000 0.000 0.000 1
K2 K 0.000 0.329 0.000 1
Er1 Er 0.000 0.166 0.500 1
Al1 Al 0.000 0.500 0.500 1
S1 S 0.219 0.345 0.692 1
S2 S 0.245 0.500 0.307 1
# **Formation energy from raw total energies**: -1.61 eV per atom


[15]
# Ce3GaIr, optimized geometry, DFT GGA-PBE
data_Ce3GaIr
_cell_length_a 6.655
_cell_length_b 9.036
_cell_length_c 15.907
_cell_angle_alpha 90.00
_cell_angle_beta 90.00
_cell_angle_gamma 90.00
_symmetry_space_group_name_H-M 'F m m m'
_symmetry_Int_Tables_number 69
_symmetry_space_group_name_Hall '-F 2 2'
loop_
_atom_site_label
_atom_site_type_symbol
_atom_site_fract_x
_atom_site_fract_y
_atom_site_fract_z
_atom_site_occupancy
Ce1 Ce 0.000 0.000 0.199 1
Ce2 Ce 0.000 0.203 0.409 1
Ga1 Ga 0.189 0.000 0.000 1
Ir1 Ir 0.250 0.250 0.250 1
# **Relative energy among the computed polymorphs**: 0.0 meV per atom


[16]
# AlTcOs2, optimized geometry, DFT GGA-PBE
data_AlTcOs2
_cell_length_a 3.773
_cell_length_b 3.773
_cell_length_c 8.066
_cell_angle_alpha 90.00
_cell_angle_beta 90.00
_cell_angle_gamma 90.00
_symmetry_space_group_name_H-M 'I -4 m 2'
_symmetry_Int_Tables_number 119
_symmetry_space_group_name_Hall 'I -4 -2'
loop_
_atom_site_label
_atom_site_type_symbol
_atom_site_fract_x
_atom_site_fract_y
_atom_site_fract_z
_atom_site_occupancy
Al1 Al 0.000 0.000 0.000 1
Tc1 Tc 0.000 0.500 0.250 1
Os1 Os 0.000 0.000 0.500 1
Os2 Os 0.000 0.500 0.750 1
# **Calculated total energy**: -9.13 eV per atom


[17]
# Na3PmU2Te6, optimized geometry, DFT GGA-PBE
data_Na3PmU2Te6
_cell_length_a 7.714
_cell_length_b 13.363
_cell_length_c 8.030
_cell_angle_alpha 90.00
_cell_angle_beta 108.67
_cell_angle_gamma 90.00
_symmetry_space_group_name_H-M 'C 1 2/m 1'
_symmetry_Int_Tables_number 12
loop_
_symmetry_equiv_pos_as_xyz
'x,y,z'
'-x,-y,-z'
'-x,y,-z'
'x,-y,z'
'x+1/2,y+1/2,z'
'-x+1/2,-y+1/2,-z'
'-x+1/2,y+1/2,-z'
'x+1/2,-y+1/2,z'
loop_
_atom_site_label
_atom_site_type_symbol
_atom_site_fract_x
_atom_site_fract_y
_atom_site_fract_z
_atom_site_occupancy
Na1 Na 0.000 0.000 0.000 1
Na2 Na 0.000 0.335 0.000 1
Pm1 Pm 0.000 0.500 0.500 1
U1 U 0.000 0.167 0.500 1
Te1 Te 0.242 0.000 0.737 1
Te2 Te 0.248 0.331 0.738 1
# **Formation energy from raw total energies**: -0.95 eV per atom


[18]
# Sn2HgO, optimized geometry, DFT GGA-PBE
data_Sn2HgO
_cell_length_a 5.550
_cell_length_b 5.550
_cell_length_c 13.253
_cell_angle_alpha 90.00
_cell_angle_beta 90.00
_cell_angle_gamma 90.00
_symmetry_space_group_name_H-M 'I -4 2 d'
_symmetry_Int_Tables_number 122
_symmetry_space_group_name_Hall 'I -4 2bw'
loop_
_atom_site_label
_atom_site_type_symbol
_atom_site_fract_x
_atom_site_fract_y
_atom_site_fract_z
_atom_site_occupancy
Sn1 Sn 0.143 0.250 0.125 1
Hg1 Hg 0.000 0.000 0.500 1
O1 O 0.000 0.000 0.000 1
# **Relative energy among the computed polymorphs**: 0.0 meV per atom
# **Formation energy from raw total energies**: -0.33 eV per atom


[19]
# Ac3NbBr2O6, optimized geometry, DFT GGA-PBE
data_Ac3NbBr2O6
_cell_length_a 12.391
_cell_length_b 7.000
_cell_length_c 6.087
_cell_angle_alpha 90.00
_cell_angle_beta 99.49
_cell_angle_gamma 90.00
_symmetry_space_group_name_H-M 'C 1 2/m 1'
_symmetry_Int_Tables_number 12
loop_
_symmetry_equiv_pos_as_xyz
'x,y,z'
'-x,-y,-z'
'-x,y,-z'
'x,-y,z'
'x+1/2,y+1/2,z'
'-x+1/2,-y+1/2,-z'
'-x+1/2,y+1/2,-z'
'x+1/2,-y+1/2,z'
loop_
_atom_site_label
_atom_site_type_symbol
_atom_site_fract_x
_atom_site_fract_y
_atom_site_fract_z
_atom_site_occupancy
Ac1 Ac 0.000 0.000 0.000 1
Ac2 Ac 0.250 0.250 0.500 1
Nb1 Nb 0.000 0.500 0.500 1
Br1 Br 0.229 0.000 0.902 1
O1 O 0.055 0.273 0.311 1
O2 O 0.155 0.500 0.653 1
# **Formation energy from raw total energies**: -2.50 eV per atom


[20]
# Ga2SbIrOs, optimized geometry, DFT GGA-PBE
data_Ga2SbIrOs
_cell_length_a 4.726
_cell_length_b 4.726
_cell_length_c 4.906
_cell_angle_alpha 90.00
_cell_angle_beta 90.00
_cell_angle_gamma 90.00
_symmetry_space_group_name_H-M 'P 4/m m m'
_symmetry_Int_Tables_number 123
_symmetry_space_group_name_Hall '-P 4 2'
loop_
_atom_site_label
_atom_site_type_symbol
_atom_site_fract_x
_atom_site_fract_y
_atom_site_fract_z
_atom_site_occupancy
Ga1 Ga 0.000 0.500 0.000 1
Sb1 Sb 0.000 0.000 0.500 1
Ir1 Ir 0.500 0.500 0.000 1
Os1 Os 0.500 0.500 0.500 1
# **Formation energy from raw total energies**: 0.65 eV per atom